No. 1
Material: ZrFeIr
Method: DFT, PBE
State: optimized geometry

Results
ΔE_f   -247 meV/atom
Total DFT energy (no corrections)   -26.61 eV per formula unit
ρ   11.569 g cm⁻³

a = 4.3962 Å, b = 4.3962 Å, c = 2.9097 Å
α = 90.00°, β = 90.00°, γ = 120.00°
Space group P3m1 (No. 156)
Unique sites:
Zr  0.0000  0.0000  0.0000 [1 per cell]
Fe  0.6667  0.3333  0.3695 [1 per cell]
Ir  0.3333  0.6667  0.6131 [1 per cell]



No. 2
Material: AcLa12Pm5
Method: DFT, PBE
State: optimized geometry

Results
ΔE_f   19 meV/atom
Total DFT energy (no corrections)   -86.64 eV per formula unit
ρ   6.615 g cm⁻³

a = 19.3527 Å, b = 11.1611 Å, c = 6.4541 Å
α = 90.00°, β = 109.42°, γ = 90.00°
Space group C2/m (No. 12)
Unique sites:
Ac  0.0000  0.0000  0.0000 [2 per cell]
La  0.0000  0.1724  0.5000 [4 per cell]
La  0.0000  0.3356  0.0000 [4 per cell]
La  0.1664  0.3318  0.8368 [8 per cell]
La  0.1682  0.1693  0.3356 [8 per cell]
Pm  0.0000  0.5000  0.5000 [2 per cell]
Pm  0.1662  0.5000  0.3357 [4 per cell]
Pm  0.1680  0.0000  0.8296 [4 per cell]



No. 3
Material: SrTa2Te
Method: DFT, PBE
State: optimized geometry

Results
Formation energy from raw total energies   60 kJ per mole of atoms
Total DFT energy (no corrections)   -26.05 eV per formula unit
ρ   10.175 g cm⁻³
Energy above the lowest structure with this stoichiometry   493 meV per atom

a = 4.2460 Å, b = 4.2460 Å, c = 5.2240 Å
α = 90.00°, β = 90.00°, γ = 90.00°
Space group P4/mmm (No. 123)
Unique sites:
Sr  0.0000  0.0000  0.0000 [1 per cell]
Ta  0.0000  0.5000  0.5000 [2 per cell]
Te  0.5000  0.5000  0.0000 [1 per cell]



No. 4
Material: TiGaCu2C
Method: DFT, PBE
State: optimized geometry

Results
ΔE_f   448 meV/atom
Total DFT energy (no corrections)   -26.10 eV per formula unit
ρ   6.362 g cm⁻³

a = 3.7892 Å, b = 3.7892 Å, c = 4.6661 Å
α = 90.00°, β = 90.00°, γ = 90.00°
Space group P4/mmm (No. 123)
Unique sites:
Ti  0.0000  0.0000  0.0000 [1 per cell]
Ga  0.5000  0.5000  0.0000 [1 per cell]
Cu  0.0000  0.5000  0.5000 [2 per cell]
C  0.5000  0.5000  0.5000 [1 per cell]



No. 5
Material: Ho3Er5Tl
Method: DFT, PBE
State: optimized geometry

Results
ΔE_f   400 meV/atom
Total DFT energy (no corrections)   -35.31 eV per formula unit
ρ   7.982 g cm⁻³

a = 11.9416 Å, b = 11.2485 Å, c = 10.0768 Å
α = 90.00°, β = 109.27°, γ = 90.00°
Space group C2/m (No. 12)
Unique sites:
Ho  0.0000  0.0000  0.0000 [2 per cell]
Ho  0.9999  0.0000  0.3148 [4 per cell]
Ho  0.0000  0.5000  0.5000 [2 per cell]
Ho  0.0041  0.5000  0.1717 [4 per cell]
Er  0.0000  0.2316  0.5000 [4 per cell]
Er  0.1841  0.2405  0.2928 [8 per cell]
Er  0.2373  0.0000  0.5575 [4 per cell]
Er  0.2499  0.0000  0.9080 [4 per cell]
Tl  0.2318  0.5000  0.7695 [4 per cell]



No. 6
Material: KTc2
Method: DFT, PBE
State: optimized geometry

Results
ΔE_f   2158 meV/atom
Total DFT energy (no corrections)   -15.35 eV per formula unit
ρ   7.211 g cm⁻³
Energy above the lowest structure with this stoichiometry   1585 meV per atom

a = 4.8655 Å, b = 4.8655 Å, c = 5.2810 Å
α = 90.00°, β = 90.00°, γ = 120.00°
Space group P6_3/mmc (No. 194)
Unique sites:
K  0.3333  0.6667  0.2500 [2 per cell]
Tc  0.0000  0.0000  0.0000 [2 per cell]
Tc  0.3333  0.6667  0.7500 [2 per cell]



No. 7
Material: LaIrRh2
Method: DFT, PBE
State: optimized geometry

Results
ΔE_f   56 meV/atom
Total DFT energy (no corrections)   -28.27 eV per formula unit
ρ   12.586 g cm⁻³
Energy above the lowest structure with this stoichiometry   555 meV per atom

a = 2.9295 Å, b = 2.9295 Å, c = 8.2546 Å
α = 90.00°, β = 90.00°, γ = 90.00°
Space group P4/mmm (No. 123)
Unique sites:
La  0.0000  0.0000  0.0000 [1 per cell]
Ir  0.0000  0.0000  0.5000 [1 per cell]
Rh  0.5000  0.5000  0.2895 [2 per cell]



No. 8
Material: TmLuFeCu
Method: DFT, PBE
State: optimized geometry

Results
ΔE_f   -88 meV/atom
Total DFT energy (no corrections)   -21.90 eV per formula unit
ρ   10.456 g cm⁻³

a = 6.6517 Å, b = 6.6517 Å, c = 6.6517 Å
α = 90.00°, β = 90.00°, γ = 90.00°
Space group F-43m (No. 216)
Unique sites:
Tm  0.0000  0.0000  0.0000 [4 per cell]
Lu  0.0000  0.0000  0.5000 [4 per cell]
Fe  0.2500  0.2500  0.2500 [4 per cell]
Cu  0.2500  0.2500  0.7500 [4 per cell]



No. 9
Material: ZrRe2Ru
Method: DFT, PBE
State: optimized geometry

Results
ΔE_f   17 meV/atom
Total DFT energy (no corrections)   -42.65 eV per formula unit
ρ   14.353 g cm⁻³
Energy above the lowest structure with this stoichiometry   46 meV per atom

a = 9.8821 Å, b = 2.8901 Å, c = 4.6878 Å
α = 90.00°, β = 102.60°, γ = 90.00°
Space group C2/m (No. 12)
Unique sites:
Zr  0.0000  0.0000  0.0000 [2 per cell]
Re  0.2281  0.0000  0.7247 [4 per cell]
Ru  0.0000  0.5000  0.5000 [2 per cell]



No. 10
Material: LuB2H6
Method: DFT, PBE
State: optimized geometry

Results
Total DFT energy (no corrections)   -26.86 eV per formula unit
ρ   5.443 g cm⁻³

a = 6.2768 Å, b = 6.2768 Å, c = 6.2768 Å
α = 90.00°, β = 90.00°, γ = 90.00°
Space group Fm-3m (No. 225)
Unique sites:
Lu  0.0000  0.0000  0.0000 [4 per cell]
B  0.2500  0.2500  0.2500 [8 per cell]
H  0.0000  0.0000  0.3443 [24 per cell]



No. 11
Material: Cd7Hg2
Method: DFT, PBE
State: optimized geometry

Results
ΔE_f   22 meV/atom
Total DFT energy (no corrections)   -6.81 eV per formula unit
ρ   9.332 g cm⁻³
Energy above the lowest structure with this stoichiometry   0 meV per atom

a = 5.8691 Å, b = 5.8691 Å, c = 7.0870 Å
α = 90.00°, β = 90.00°, γ = 120.00°
Space group P-31m (No. 162)
Unique sites:
Cd  0.0000  0.0000  0.0000 [1 per cell]
Cd  0.0000  0.3313  0.6666 [6 per cell]
Hg  0.3333  0.6667  0.0000 [2 per cell]